## Hf3MgRh (GGA-PBEsol)

Data for a geometry-optimized Hf3MgRh structure.

```
Hf3MgRh
1.0
-3.688 -2.241 2.412
-0.197 -3.465 -3.521
3.287 -2.722 2.495
Hf Rh Mg
3 1 1
Direct
0.000 0.000 0.500
0.000 0.500 0.000
0.500 0.000 0.000
0.000 0.000 0.000
0.500 0.500 0.500
```

## Properties
N(E_F): 9.4 states/eV/cell
Size of the total moment: 0.00 μB/f.u.
Space-group type: Pm-3m (221)
DFT total energy: -7.983 eV per atom
Formation energy from the elements: 0.2895 eV per atom

## HfMg3Rh (GGA-PBEsol)

Data for a geometry-optimized HfMg3Rh structure.

```
HfMg3Rh
1.0
-0.495 0.778 -4.670
-2.531 -4.012 -0.400
-4.002 2.441 0.831
Rh Mg Hf
1 3 1
Direct
0.000 0.000 0.000
0.500 0.000 0.000
0.000 0.500 0.000
0.000 0.000 0.500
0.500 0.500 0.500
```

## Properties
N(E_F): 4.3 states/eV/cell
Size of the total moment: 0.00 μB/f.u.
Space-group type: Pm-3m (221)
DFT total energy: -4.356 eV per atom
Formation energy from the elements: 0.4025 eV per atom

## HfMg2RuW (GGA-PBEsol)

Data for a geometry-optimized HfMg2RuW structure.

```
HfMg2RuW
1.0
4.516 0.000 0.000
0.000 4.914 0.000
0.000 0.000 4.914
W Ru Mg Hf
1 1 2 1
Direct
0.000 0.000 0.000
0.500 0.000 0.000
0.000 0.000 0.500
0.000 0.500 0.000
0.500 0.500 0.500
```

## Properties
N(E_F): 4.9 states/eV/cell
Size of the total moment: 0.00 μB/f.u.
Space-group type: P4/mmm (123)
DFT total energy: -6.184 eV per atom
Formation energy from the elements: 1.3997 eV per atom

## HfMg2S (GGA-PBEsol)

Data for a geometry-optimized HfMg2S structure.

```
HfMg2S
1.0
-0.641 -4.413 1.944
0.230 -3.957 -2.820
3.766 -3.053 0.397
Mg Hf S
2 1 1
Direct
0.250 0.250 0.250
0.750 0.750 0.750
0.500 0.500 0.500
0.000 0.000 0.000
```

## Properties
N(E_F): 4.2 states/eV/cell
Formation energy from raw total energies: 44 kJ per mole of atoms
Size of the total moment: 0.00 μB/f.u.
Space-group type: Fm-3m (225)
DFT total energy: -4.126 eV per atom